Entry 1:
VASP calculation (GGA-PBE) on crystalline Ca2ThTcN4 at its relaxed geometry.

Unit cell a=3.477 b=6.074 c=11.866 alpha=90.00 beta=90.00 gamma=106.63
Sites, in units of the cell vectors:
Tc  0.844  0.687  0.750
Ca  0.629  0.258  0.038
N  0.275  0.550  0.138
N  0.000  0.000  0.500
N  0.725  0.450  0.862
Ca  0.629  0.258  0.462
Tc  0.156  0.313  0.250
N  0.275  0.550  0.362
N  0.567  0.134  0.250
Ca  0.371  0.742  0.538
N  0.433  0.866  0.750
Ca  0.371  0.742  0.962
Th  0.105  0.210  0.750
Th  0.895  0.790  0.250
N  0.000  0.000  0.000
N  0.725  0.450  0.638

Properties
Formation energy from raw total energies (eV per atom): -0.7438
Final energy (eV/atom): -7.630

Entry 2:
VASP calculation (GGA-PBE) on crystalline MoIr2 at its relaxed geometry.

Unit cell a=7.383 b=7.383 c=4.428 alpha=90.00 beta=90.00 gamma=158.28
Sites, in units of the cell vectors:
Ir  0.113  0.887  0.250
Ir  0.557  0.443  0.750
Ir  0.443  0.557  0.250
Ir  0.887  0.113  0.750
Mo  0.220  0.780  0.750
Mo  0.780  0.220  0.250

Properties
Final energy (eV/atom): -9.652
Energy of formation (eV/atom): -0.134

Entry 3:
VASP calculation (GGA-PBE) on crystalline YNi2MoRu at its relaxed geometry.

Unit cell a=4.600 b=4.912 c=4.600 alpha=90.00 beta=90.00 gamma=90.00
Last column: magnetic moment on the atom in μB.
Sites, in units of the cell vectors:
Ru  0.000  0.000  0.000  0.71
Mo  0.500  0.500  0.500  3.04
Ni  0.000  0.000  0.500  0.72
Y  0.000  0.500  0.000  0.02
Ni  0.500  0.000  0.000  0.44

Properties
Final energy (eV/atom): -6.348
Energy of formation (eV/atom): 1.278

Entry 4:
VASP calculation (GGA-PBE) on crystalline Th7S12 at its relaxed geometry.

Unit cell a=11.159 b=11.159 c=3.993 alpha=90.00 beta=90.00 gamma=120.00
Last column: magnetic moment on the atom in μB.
Sites, in units of the cell vectors:
S  0.382  0.859  0.500  0.00
S  0.860  0.487  0.000  0.00
S  0.786  0.995  0.500  0.00
Th  0.848  0.288  0.500  0.06
Th  0.440  0.152  0.500  0.06
S  0.751  0.747  0.000  0.00
Th  0.000  0.000  0.000  0.01
Th  0.712  0.560  0.500  0.06
S  0.513  0.372  0.000  0.00
S  0.253  0.004  0.000  0.00
S  0.476  0.618  0.500  0.00
Th  0.282  0.432  0.000  0.07
S  0.141  0.524  0.500  0.00
Th  0.568  0.851  0.000  0.07
S  0.209  0.214  0.500  0.00
S  0.628  0.140  0.000  0.00
Th  0.149  0.718  0.000  0.07
S  0.996  0.249  0.000  0.00
S  0.005  0.791  0.500  0.00

Properties
Formation energy from raw total energies (eV per atom): -1.9924
Final energy (eV/atom): -7.333

Entry 5:
VASP calculation (GGA-PBE) on crystalline Ac3Be2AlPt9 at its relaxed geometry.

Unit cell a=6.897 b=6.897 c=7.146 alpha=90.00 beta=90.00 gamma=120.00
Sites, in units of the cell vectors:
Al  0.000  0.000  0.500
Be  0.667  0.333  0.858
Pt  0.360  0.180  0.674
Pt  0.500  0.000  0.000
Pt  0.180  0.360  0.326
Pt  0.180  0.820  0.326
Pt  0.820  0.640  0.674
Pt  0.820  0.180  0.674
Pt  0.000  0.500  0.000
Pt  0.640  0.820  0.326
Pt  0.500  0.500  0.000
Be  0.333  0.667  0.142
Ac  0.000  0.000  0.000
Ac  0.667  0.333  0.330
Ac  0.333  0.667  0.670

Properties
Final energy (eV/atom): -6.020
Energy of formation (eV/atom): -0.828

Entry 6:
VASP calculation (GGA-PBE) on crystalline Pr2N at its relaxed geometry.

Unit cell a=3.608 b=6.579 c=6.383 alpha=97.07 beta=90.00 gamma=90.00
Sites, in units of the cell vectors:
Pr  0.750  0.776  0.972
N  0.750  0.069  0.757
Pr  0.750  0.774  0.455
Pr  0.250  0.224  0.028
N  0.250  0.931  0.243
Pr  0.250  0.226  0.545

Properties
Formation energy from raw total energies (eV per atom): -0.5744
Final energy (eV/atom): -6.536

Entry 7:
VASP calculation (GGA-PBE) on crystalline Pm2Er5Th2 at its relaxed geometry.

Unit cell a=11.920 b=6.634 c=11.458 alpha=106.83 beta=135.03 gamma=90.00
Sites, in units of the cell vectors:
Er  0.212  0.696  0.907
Pm  0.144  0.716  0.280
Pm  0.856  0.436  0.720
Er  0.960  0.652  0.460
Th  0.762  0.867  0.543
Er  0.829  0.264  0.131
Er  0.788  0.789  0.093
Er  0.580  0.721  0.652
Th  0.500  0.474  0.000
Er  0.420  0.069  0.348
Er  0.040  0.192  0.540
Er  0.171  0.133  0.869
Th  0.000  0.043  0.000
Th  0.238  0.324  0.457
Er  0.380  0.507  0.232
Pm  0.616  0.123  0.229
Pm  0.384  0.893  0.771
Er  0.620  0.274  0.768

Properties
Final energy (eV/atom): -5.051
Energy above the most stable polymorph in this dataset (meV per atom): 0.0
Energy of formation (eV/atom): 0.188

Entry 8:
VASP calculation (GGA-PBE) on crystalline Ce3Os at its relaxed geometry.

Unit cell a=3.308 b=5.510 c=5.831 alpha=118.20 beta=106.48 gamma=90.00
Sites, in units of the cell vectors:
Os  0.000  0.917  0.000
Ce  0.500  0.417  0.000
Ce  0.263  0.680  0.526
Ce  0.737  0.154  0.474

Properties
Final energy (eV/atom): -7.334
Energy of formation (eV/atom): -0.076

Entry 9:
VASP calculation (GGA-PBE) on crystalline Er6P2AuSe3 at its relaxed geometry.

Unit cell a=3.988 b=8.178 c=9.057 alpha=103.05 beta=102.72 gamma=90.00
Sites, in units of the cell vectors:
Se  0.500  0.500  0.000
Se  0.833  0.168  0.666
Au  0.500  0.000  0.000
Er  0.328  0.427  0.655
Er  0.672  0.573  0.345
Er  0.994  0.748  0.989
Er  0.668  0.100  0.336
P  0.168  0.337  0.335
P  0.832  0.663  0.665
Er  0.006  0.252  0.011
Er  0.332  0.900  0.664
Se  0.167  0.832  0.334

Properties
Formation energy from raw total energies (eV per atom): -1.5674
Final energy (eV/atom): -5.895

Entry 10:
VASP calculation (GGA-PBE) on crystalline La4GePSe2 at its relaxed geometry.

Unit cell a=4.342 b=7.545 c=7.509 alpha=70.59 beta=90.00 gamma=90.00
Sites, in units of the cell vectors:
Ge  0.500  0.500  0.000
P  0.000  0.500  0.500
Se  0.000  0.000  0.000
La  0.500  0.736  0.257
Se  0.500  0.000  0.500
La  0.000  0.739  0.751
La  0.500  0.264  0.743
La  0.000  0.261  0.249

Properties
Formation energy from raw total energies (eV per atom): -1.6679
Final energy (eV/atom): -6.256

Entry 11:
VASP calculation (GGA-PBE) on crystalline I3BrCl at its relaxed geometry.

Unit cell a=3.705 b=10.175 c=31.186 alpha=90.00 beta=126.28 gamma=90.00
Sites, in units of the cell vectors:
I  0.292  0.622  0.406
Cl  0.180  0.492  0.689
I  0.085  0.760  0.670
Br  0.751  0.234  0.002
I  0.484  0.474  0.149
I  0.208  0.122  0.094
Cl  0.320  0.992  0.811
Br  0.249  0.766  0.998
I  0.016  0.974  0.351
Br  0.749  0.734  0.498
I  0.915  0.240  0.330
I  0.708  0.378  0.594
I  0.585  0.740  0.170
Br  0.251  0.266  0.502
I  0.516  0.526  0.851
Cl  0.680  0.008  0.189
Cl  0.820  0.508  0.311
I  0.415  0.260  0.830
I  0.792  0.878  0.906
I  0.984  0.026  0.649

Properties
Formation energy from raw total energies (eV per atom): -0.0418
Final energy (eV/atom): -1.676
Energy above the most stable polymorph in this dataset (meV per atom): 0.0

Entry 12:
VASP calculation (GGA-PBE) on crystalline Er2ZrTl3Se6 at its relaxed geometry.

Unit cell a=7.001 b=7.001 c=8.263 alpha=98.14 beta=98.14 gamma=120.00
Last column: magnetic moment on the atom in μB.
Sites, in units of the cell vectors:
Tl  0.500  0.500  0.500  0.00
Tl  0.170  0.830  0.500  0.00
Er  0.334  0.666  0.000  0.03
Se  0.745  0.745  0.203  0.00
Se  0.067  0.390  0.200  0.00
Se  0.933  0.610  0.800  0.00
Er  0.666  0.334  0.000  0.03
Tl  0.830  0.170  0.500  0.00
Se  0.610  0.933  0.800  0.00
Se  0.390  0.067  0.200  0.00
Zr  0.000  0.000  0.000  0.17
Se  0.255  0.255  0.797  0.00

Properties
Formation energy from raw total energies (eV per atom): -1.2143
Final energy (eV/atom): -5.021

Entry 13:
VASP calculation (GGA-PBE) on crystalline Nd6NiPt2 at its relaxed geometry.

Unit cell a=6.805 b=7.394 c=10.396 alpha=90.00 beta=86.15 gamma=90.00
Sites, in units of the cell vectors:
Nd  0.175  0.324  0.575
Nd  0.325  0.824  0.925
Pt  0.556  0.885  0.269
Nd  0.325  0.818  0.566
Nd  0.175  0.318  0.934
Ni  0.000  0.000  0.500
Nd  0.654  0.461  0.745
Pt  0.056  0.615  0.769
Nd  0.346  0.539  0.255
Pt  0.444  0.115  0.731
Ni  0.500  0.500  0.000
Nd  0.154  0.039  0.245
Nd  0.846  0.961  0.755
Nd  0.825  0.682  0.066
Pt  0.944  0.385  0.231
Nd  0.675  0.176  0.075
Nd  0.675  0.182  0.434
Nd  0.825  0.676  0.425

Properties
Final energy (eV/atom): -5.743
Energy of formation (eV/atom): -0.580

Entry 14:
VASP calculation (GGA-PBE) on crystalline ZnInHPb2 at its relaxed geometry.

Unit cell a=5.754 b=5.754 c=3.458 alpha=90.00 beta=90.00 gamma=90.00
Sites, in units of the cell vectors:
Pb  0.500  0.000  0.000
H  0.000  0.000  0.500
Pb  0.000  0.500  0.000
Zn  0.000  0.000  0.000
In  0.500  0.500  0.500

Properties
Final energy (eV/atom): -2.753

Entry 15:
VASP calculation (GGA-PBE) on crystalline CuPS2O at its relaxed geometry.

Unit cell a=4.553 b=4.553 c=3.670 alpha=90.00 beta=90.00 gamma=90.00
Sites, in units of the cell vectors:
S  0.000  0.500  0.000
P  0.000  0.000  0.500
Cu  0.500  0.500  0.500
S  0.500  0.000  0.000
O  0.000  0.000  0.000

Properties
Formation energy from raw total energies (eV per atom): 0.8353
Final energy (eV/atom): -3.709
Energy above the most stable polymorph in this dataset (meV per atom): 0.0

Entry 16:
VASP calculation (GGA-PBE) on crystalline ZrBeInRh at its relaxed geometry.

Unit cell a=4.534 b=4.534 c=4.534 alpha=60.00 beta=60.00 gamma=60.00
Sites, in units of the cell vectors:
Be  0.250  0.250  0.250
In  0.000  0.000  0.000
Zr  0.500  0.500  0.500
Rh  0.750  0.750  0.750

Properties
Final energy (eV/atom): -5.959
Energy of formation (eV/atom): -0.368

Entry 17:
VASP calculation (GGA-PBE) on crystalline CaPmP at its relaxed geometry.

Unit cell a=7.359 b=7.992 c=7.359 alpha=69.85 beta=75.41 gamma=110.15
Sites, in units of the cell vectors:
Pm  0.322  0.234  0.106
Pm  0.660  0.766  0.912
Ca  0.880  0.283  0.918
P  0.506  0.063  0.882
P  0.368  0.563  0.744
Ca  0.799  0.717  0.403
P  0.055  0.937  0.557
Ca  0.332  0.783  0.370
P  0.693  0.437  0.195
Ca  0.847  0.217  0.451
Pm  0.338  0.266  0.590
Pm  0.144  0.734  0.928

Properties
Final energy (eV/atom): -4.954
Energy above the most stable polymorph in this dataset (meV per atom): 0.0
Energy of formation (eV/atom): -0.900

Entry 18:
VASP calculation (GGA-PBE) on crystalline Ac3Tb2Y at its relaxed geometry.

Unit cell a=7.550 b=6.572 c=12.552 alpha=110.50 beta=90.00 gamma=125.06
Sites, in units of the cell vectors:
Ac  0.375  0.000  0.750
Tb  0.791  0.333  0.583
Tb  0.458  0.667  0.917
Ac  0.291  0.334  0.584
Ac  0.042  0.334  0.084
Y  0.875  0.000  0.750
Ac  0.709  0.666  0.416
Tb  0.542  0.333  0.083
Tb  0.209  0.667  0.417
Ac  0.625  0.000  0.250
Y  0.125  0.000  0.250
Ac  0.958  0.666  0.916

Properties
Final energy (eV/atom): -4.601
Energy of formation (eV/atom): 0.074

Entry 19:
VASP calculation (GGA-PBE) on crystalline Ti6SnSb3 at its relaxed geometry.

Unit cell a=6.992 b=7.938 c=7.938 alpha=112.33 beta=90.00 gamma=90.00
Last column: magnetic moment on the atom in μB.
Sites, in units of the cell vectors:
Ti  0.270  0.960  0.040  0.01
Sn  0.049  0.190  0.810  0.00
Sb  0.967  0.077  0.292  0.00
Ti  0.117  0.770  0.636  0.02
Ti  0.097  0.728  0.272  0.17
Sb  0.967  0.708  0.923  0.00
Ti  0.117  0.364  0.230  0.02
Ti  0.299  0.533  0.953  0.06
Sb  0.467  0.923  0.708  0.00
Sb  0.805  0.569  0.431  0.00
Ti  0.299  0.047  0.467  0.06
Ti  0.597  0.272  0.728  0.17
Sn  0.549  0.810  0.190  0.00
Ti  0.617  0.230  0.364  0.02
Ti  0.770  0.040  0.960  0.01
Sb  0.467  0.292  0.077  0.00
Ti  0.617  0.636  0.770  0.02
Ti  0.799  0.953  0.533  0.06
Sb  0.305  0.431  0.569  0.00
Ti  0.799  0.467  0.047  0.06

Properties
Formation energy from raw total energies (eV per atom): -0.2825
Final energy (eV/atom): -6.656

Entry 20:
VASP calculation (GGA-PBE) on crystalline Zr2CoPtBr at its relaxed geometry.

Unit cell a=4.859 b=4.355 c=4.859 alpha=90.00 beta=90.00 gamma=90.00
Sites, in units of the cell vectors:
Zr  0.000  0.000  0.500
Pt  0.500  0.500  0.500
Br  0.000  0.500  0.000
Co  0.000  0.000  0.000
Zr  0.500  0.000  0.000

Properties
Formation energy from raw total energies (eV per atom): 0.2853
Final energy (eV/atom): -6.098

Entry 21:
VASP calculation (GGA-PBE) on crystalline LiYOs3 at its relaxed geometry.

Unit cell a=4.977 b=4.977 c=4.977 alpha=90.00 beta=90.00 gamma=90.00
Last column: magnetic moment on the atom in μB.
Sites, in units of the cell vectors:
Os  0.000  0.500  0.000  1.37
Os  0.000  0.000  0.500  1.37
Os  0.500  0.000  0.000  1.27
Y  0.000  0.000  0.000  -0.10
Li  0.500  0.500  0.500  -0.01

Properties
Final energy (eV/atom): -5.702
Energy above the most stable polymorph in this dataset (meV per atom): 1780.9
Energy of formation (eV/atom): 2.712

Entry 22:
VASP calculation (GGA-PBE) on crystalline AlCrAg2 at its relaxed geometry.

Unit cell a=4.975 b=4.975 c=4.922 alpha=77.12 beta=77.12 gamma=34.72
Last column: magnetic moment on the atom in μB.
Sites, in units of the cell vectors:
Ag  0.002  0.002  0.992  0.03
Al  0.498  0.498  0.500  -0.03
Cr  0.758  0.758  0.746  3.52
Ag  0.242  0.242  0.262  0.04

Properties
Final energy (eV/atom): -4.564
Energy of formation (eV/atom): 0.203